1.
NaFeGe3 PBE optimized geometry; calculated formation energy = 1.4352 eV/atom; space-group type = Pm-3m; uncorrected energy = -3.292 eV per atom; ρ = 4.19 g/cm3; energy above the lowest structure with this stoichiometry = 1.255 eV per atom
1.0
4.9002 0.0000 0.0000
0.0000 4.9002 0.0000
0.0000 0.0000 4.9002
Ge Fe Na
3 1 1
direct
0.5000 0.0000 0.0000
0.0000 0.5000 0.0000
0.0000 0.0000 0.5000
0.5000 0.5000 0.5000
0.0000 0.0000 0.0000

---

2.
ScCuW2 PBE optimized geometry; calculated formation energy = 0.4782 eV/atom; space-group type = P4/mmm; uncorrected energy = -8.605 eV per atom; ρ = 11.81 g/cm3; energy above the lowest structure with this stoichiometry = 0.321 eV per atom
1.0
-2.1413 0.8543 2.3160
-2.3348 -1.6963 -1.5330
1.5379 -5.1030 3.3043
Sc W Cu
1 2 1
direct
0.5000 0.5000 0.7500
0.0000 0.0000 0.4476
0.0000 0.0000 0.0524
0.5000 0.5000 0.2500

---

3.
Rb2Np3GeS8 PBE optimized geometry; space-group type = R3m; uncorrected energy = -6.721 eV per atom; ρ = 4.47 g/cm3; E_form (uncorrected) = -1121.5 meV per atom
1.0
-6.7783 2.2720 -3.6277
-2.8122 -4.1913 -6.2284
-7.4632 -5.2928 1.7722
Ge S Np Rb
1 8 3 2
direct
0.8990 0.8990 0.3030
0.7185 0.7185 0.8445
0.2387 0.6894 0.8331
0.7743 0.7743 0.1870
0.2706 0.2706 0.1883
0.6894 0.2387 0.8331
0.7743 0.2644 0.1870
0.2644 0.7743 0.1870
0.2387 0.2387 0.8331
0.4950 0.0024 0.0077
0.0024 0.4950 0.0077
0.4950 0.4950 0.0077
0.4970 0.4970 0.5089
0.1353 0.1353 0.5941